[1]
Below is an optimized crystal structure of NbCd2CuBi, with properties calculated at the GGA-PBE level.

The structure in CIF format:
```
data_NbCd2CuBi
_symmetry_space_group_name_H-M 'P 4/m m m'
_symmetry_Int_Tables_number 123
_symmetry_space_group_name_Hall '-P 4 2'
_cell_length_a 4.872
_cell_length_b 4.872
_cell_length_c 4.974
_cell_angle_alpha 90.00
_cell_angle_beta 90.00
_cell_angle_gamma 90.00
loop_
_atom_site_label
_atom_site_type_symbol
_atom_site_fract_x
_atom_site_fract_y
_atom_site_fract_z
_atom_site_occupancy
Nb1 Nb 0.000 0.000 0.000 1
Cd1 Cd 0.000 0.500 0.500 1
Cu1 Cu 0.000 0.000 0.500 1
Bi1 Bi 0.500 0.500 0.000 1
```

Calculated values
Formation energy, eV/f.u.: 2.8


[2]
Below is an optimized crystal structure of PmCdCuBi, with properties calculated at the GGA-PBE level.

The structure in CIF format:
```
data_PmCdCuBi
_symmetry_space_group_name_H-M 'F -4 3 m'
_symmetry_Int_Tables_number 216
_symmetry_space_group_name_Hall 'F -4 2 3'
_cell_length_a 7.378
_cell_length_b 7.378
_cell_length_c 7.378
_cell_angle_alpha 90.00
_cell_angle_beta 90.00
_cell_angle_gamma 90.00
loop_
_atom_site_label
_atom_site_type_symbol
_atom_site_fract_x
_atom_site_fract_y
_atom_site_fract_z
_atom_site_occupancy
Pm1 Pm 0.000 0.000 0.000 1
Cd1 Cd 0.000 0.000 0.500 1
Cu1 Cu 0.250 0.250 0.750 1
Bi1 Bi 0.250 0.250 0.250 1
```

Calculated values
Formation energy, eV/f.u.: -0.4


[3]
Below is an optimized crystal structure of CdCuBiRu2, with properties calculated at the GGA-PBE level.

The structure in CIF format:
```
data_CdCuBiRu2
_symmetry_space_group_name_H-M 'P 4/m m m'
_symmetry_Int_Tables_number 123
_symmetry_space_group_name_Hall '-P 4 2'
_cell_length_a 5.017
_cell_length_b 5.017
_cell_length_c 5.470
_cell_angle_alpha 90.00
_cell_angle_beta 90.00
_cell_angle_gamma 90.00
loop_
_atom_site_label
_atom_site_type_symbol
_atom_site_fract_x
_atom_site_fract_y
_atom_site_fract_z
_atom_site_occupancy
Cd1 Cd 0.000 0.000 0.000 1
Cu1 Cu 0.500 0.500 0.000 1
Bi1 Bi 0.000 0.000 0.500 1
Ru1 Ru 0.000 0.500 0.500 1
```

Calculated values
Formation energy, eV/f.u.: 9.2


[4]
Below is an optimized crystal structure of CdCu2BiSe, with properties calculated at the GGA-PBE level.

The structure in CIF format:
```
data_CdCu2BiSe
_symmetry_space_group_name_H-M 'P 4/m m m'
_symmetry_Int_Tables_number 123
_symmetry_space_group_name_Hall '-P 4 2'
_cell_length_a 4.533
_cell_length_b 4.533
_cell_length_c 5.971
_cell_angle_alpha 90.00
_cell_angle_beta 90.00
_cell_angle_gamma 90.00
loop_
_atom_site_label
_atom_site_type_symbol
_atom_site_fract_x
_atom_site_fract_y
_atom_site_fract_z
_atom_site_occupancy
Cd1 Cd 0.000 0.000 0.000 1
Cu1 Cu 0.000 0.500 0.500 1
Bi1 Bi 0.500 0.500 0.000 1
Se1 Se 0.000 0.000 0.500 1
```

Calculated values
Energy, eV/atom: -2.97


[5]
Below is an optimized crystal structure of CdCuSn2Bi, with properties calculated at the GGA-PBE level.

The structure in CIF format:
```
data_CdCuSn2Bi
_symmetry_space_group_name_H-M 'P 4/m m m'
_symmetry_Int_Tables_number 123
_symmetry_space_group_name_Hall '-P 4 2'
_cell_length_a 5.152
_cell_length_b 5.152
_cell_length_c 5.066
_cell_angle_alpha 90.00
_cell_angle_beta 90.00
_cell_angle_gamma 90.00
loop_
_atom_site_label
_atom_site_type_symbol
_atom_site_fract_x
_atom_site_fract_y
_atom_site_fract_z
_atom_site_occupancy
Cd1 Cd 0.000 0.000 0.000 1
Cu1 Cu 0.000 0.000 0.500 1
Sn1 Sn 0.000 0.500 0.500 1
Bi1 Bi 0.500 0.500 0.000 1
```

Calculated values
Formation energy, eV/f.u.: 1.0


[6]
Below is an optimized crystal structure of Dy8Cd2Bi, with properties calculated at the GGA-PBE level.

The structure in CIF format:
```
data_Dy8Cd2Bi
_symmetry_space_group_name_H-M 'C 1 2/m 1'
_symmetry_Int_Tables_number 12
_cell_length_a 18.261
_cell_length_b 5.145
_cell_length_c 7.262
_cell_angle_alpha 90.00
_cell_angle_beta 103.95
_cell_angle_gamma 90.00
loop_
_symmetry_equiv_pos_as_xyz
'x,y,z'
'-x,-y,-z'
'-x,y,-z'
'x,-y,z'
'x+1/2,y+1/2,z'
'-x+1/2,-y+1/2,-z'
'-x+1/2,y+1/2,-z'
'x+1/2,-y+1/2,z'
loop_
_atom_site_label
_atom_site_type_symbol
_atom_site_fract_x
_atom_site_fract_y
_atom_site_fract_z
_atom_site_occupancy
Dy1 Dy 0.026 0.000 0.246 1
Dy2 Dy 0.093 0.500 0.963 1
Dy3 Dy 0.166 0.500 0.456 1
Dy4 Dy 0.200 0.000 0.807 1
Cd1 Cd 0.192 0.000 0.219 1
Bi1 Bi 0.000 0.500 0.500 1
```

Calculated values
Formation energy, eV/f.u.: -2.0